No. 1
This record from the Alexandria database describes crystalline ScTl2Cu2Se4 at its relaxed geometry. The functional is GGA-PBE.

Cell: 14.545 3.897 7.982 Å, 90.00 107.89 90.00°
Space group C2/m (No. 12)
Symmetry-distinct sites (fractional):
1 Sc 0.000 0.000 0.000 x2
2 Tl 0.133 0.000 0.563 x4
3 Cu 0.182 0.500 0.987 x4
4 Se 0.020 0.500 0.773 x4
5 Se 0.197 0.000 0.179 x4

Formation energy from raw total energies ... -0.70 eV per atom
Electronic total energy ... -4.38 eV/atom
N(E_F) ... 7.95 states/eV per cell

No. 2
This record from the Alexandria database describes crystalline InCuTc2 at its relaxed geometry. The functional is GGA-PBE.

Cell: 4.109 4.109 7.287 Å, 90.00 90.00 90.00°
Space group I-4m2 (No. 119)
Symmetry-distinct sites (fractional):
1 In 0.000 0.000 0.000 x2
2 Cu 0.000 0.500 0.250 x2
3 Tc 0.000 0.000 0.500 x2
4 Tc 0.000 0.500 0.750 x2

Electronic total energy ... -6.63 eV/atom
Energy of formation from the pure elements ... 102 kJ/mol of formula units
N(E_F) ... 6.35 states/eV per cell

No. 3
This record from the Alexandria database describes crystalline CdTcAsSe2 at its relaxed geometry. The functional is GGA-PBE.

Cell: 5.004 5.004 4.754 Å, 90.00 90.00 90.00°
Space group P4/mmm (No. 123)
Symmetry-distinct sites (fractional):
1 Cd 0.000 0.000 0.000 x1
2 Tc 0.500 0.500 0.500 x1
3 As 0.500 0.500 0.000 x1
4 Se 0.000 0.500 0.500 x2

Formation energy from raw total energies ... 0.33 eV per atom
Electronic total energy ... -4.25 eV/atom
Relative energy among the computed polymorphs ... 0.000 eV/f.u.
N(E_F) ... 5.35 states/eV per cell

No. 4
This record from the Alexandria database describes crystalline Er7TmSc4 at its relaxed geometry. The functional is GGA-PBE.

Cell: 15.408 5.693 9.333 Å, 90.00 121.25 90.00°
Space group C2/m (No. 12)
Symmetry-distinct sites (fractional):
1 Er 0.000 0.000 0.000 x2
2 Er 0.087 0.500 0.442 x4
3 Er 0.206 0.500 0.881 x4
4 Er 0.245 0.500 0.280 x4
5 Tm 0.000 0.500 0.000 x2
6 Sc 0.053 0.000 0.704 x4
7 Sc 0.170 0.000 0.345 x4

Electronic total energy ... -4.88 eV/atom
Relative energy among the computed polymorphs ... 2.908 eV/f.u.
Energy of formation from the pure elements ... 302 kJ/mol of formula units
N(E_F) ... 39.74 states/eV per cell

No. 5
This record from the Alexandria database describes crystalline SmY2Zn2Ga2 at its relaxed geometry. The functional is GGA-PBE.

Cell: 4.4530 4.4530 27.9913 Å, 90.00 90.00 120.00°
Space group R-3m (No. 166, hexagonal axes)
Symmetry-distinct sites (fractional):
1 Sm 0.0000 0.0000 0.0000 x3
2 Y 0.0000 0.0000 0.1270 x6
3 Zn 0.0000 0.0000 0.3996 x6
4 Ga 0.0000 0.0000 0.2610 x6

Electronic total energy ... -4.17 eV/atom
Energy of formation from the pure elements ... -283 kJ/mol of formula units
N(E_F) ... 11.05 states/eV per cell

No. 6
This record from the Alexandria database describes crystalline SmDy2Tm at its relaxed geometry. The functional is GGA-PBE.

Cell: 15.121 5.662 5.990 Å, 90.00 90.00 90.00°
Space group Pnma (No. 62)
Symmetry-distinct sites (fractional):
1 Sm 0.248 0.250 0.242 x4
2 Dy 0.002 0.750 0.821 x4
3 Dy 0.115 0.750 0.311 x4
4 Tm 0.117 0.250 0.689 x4

Electronic total energy ... -4.52 eV/atom
Relative energy among the computed polymorphs ... 0.289 eV/f.u.
Energy of formation from the pure elements ... 32 kJ/mol of formula units
N(E_F) ... 27.73 states/eV per cell

No. 7
This record from the Alexandria database describes crystalline La2Co2Si at its relaxed geometry. The functional is GGA-PBE.

Cell: 6.801 6.801 4.255 Å, 90.00 90.00 90.00°
Space group P4/mbm (No. 127)
Symmetry-distinct sites (fractional):
1 La 0.188 0.312 0.000 x4
2 Co 0.123 0.623 0.500 x4
3 Si 0.000 0.000 0.500 x2

Formation energy from raw total energies ... -0.24 eV per atom
Electronic total energy ... -6.14 eV/atom
Relative energy among the computed polymorphs ... 0.910 eV/f.u.
N(E_F) ... 11.33 states/eV per cell

No. 8
This record from the Alexandria database describes crystalline InBi3O at its relaxed geometry. The functional is GGA-PBE.

Cell: 5.050 5.050 5.050 Å, 90.00 90.00 90.00°
Space group Pm-3m (No. 221)
Symmetry-distinct sites (fractional):
1 In 0.000 0.000 0.000 x1
2 Bi 0.000 0.500 0.500 x3
3 O 0.500 0.500 0.500 x1

Formation energy from raw total energies ... -0.09 eV per atom
Electronic total energy ... -3.96 eV/atom
Relative energy among the computed polymorphs ... 0.000 eV/f.u.
N(E_F) ... 3.80 states/eV per cell